DFT (PBE) results for a geometry-optimized Pr5Ho4Mg2 structure.

Output
The space group is No. 55. The formation energy comes out at 0.01 eV/atom. Its spin magnetization is 0.000 μB/atom.

```
Pr5Ho4Mg2
1.0
9.1169 0.0000 0.0000
0.0000 21.4017 0.0000
0.0000 0.0000 3.6476
Pr Ho Mg
10 8 4
direct
0.0000 0.0000 0.0000
0.1285 0.4356 0.0000
0.2462 0.2177 0.0000
0.2538 0.7177 0.0000
0.3715 0.9356 0.0000
0.5000 0.5000 0.0000
0.6285 0.0644 0.0000
0.7462 0.2823 0.0000
0.7538 0.7823 0.0000
0.8715 0.5644 0.0000
0.0704 0.8512 0.5000
0.2176 0.5769 0.5000
0.2824 0.0769 0.5000
0.4296 0.3512 0.5000
0.5704 0.6488 0.5000
0.7176 0.9231 0.5000
0.7824 0.4231 0.5000
0.9296 0.1488 0.5000
0.0419 0.3102 0.5000
0.4581 0.8102 0.5000
0.5419 0.1898 0.5000
0.9581 0.6898 0.5000
```